1.
VASP calculation (PBE-GGA) on a relaxed structure of Mg2TiInPb.

POSCAR file:
```
Mg2TiInPb
1.0
5.2290 0.0000 0.0000
0.0000 5.2290 0.0000
0.0000 0.0000 5.8147
Mg Ti In Pb
2 1 1 1
Direct
0.0000 0.5000 0.0000
0.5000 0.0000 0.0000
0.0000 0.0000 0.5000
0.5000 0.5000 0.5000
0.5000 0.5000 0.0000
```

Results
ΔH_f (0 K)	1.019	eV/atom
space group	P4/mmm
magnetization	0.00	μB/cell
density of states at the Fermi level	1.726	states/eV/atom

2.
VASP calculation (PBE-GGA) on a relaxed structure of MgTlInPb.

POSCAR file:
```
MgTlInPb
1.0
3.4543 0.0000 0.0000
0.0000 3.4543 0.0000
0.0000 0.0000 9.2481
Mg Tl In Pb
1 1 1 1
Direct
0.0000 0.0000 0.0000
0.0000 0.0000 0.5115
0.5000 0.5000 0.7815
0.5000 0.5000 0.2296
```

Results
ΔH_f (0 K)	-0.045	eV/atom
space group	P4mm
magnetization	0.00	μB/cell
density of states at the Fermi level	0.182	states/eV/atom
ΔE to the lowest computed polymorph	0	meV per atom

3.
VASP calculation (PBE-GGA) on a relaxed structure of Mg2Tl2InPb2.

POSCAR file:
```
Mg2Tl2InPb2
1.0
5.0574 -2.3493 0.0000
5.0574 2.3493 0.0000
-3.0853 0.0000 8.6542
Mg Tl In Pb
2 2 1 2
Direct
0.0249 0.0249 0.3413
0.9751 0.9751 0.6587
0.3440 0.3440 0.1356
0.6560 0.6560 0.8644
0.0000 0.0000 0.0000
0.2758 0.2758 0.6483
0.7242 0.7242 0.3517
```

Results
ΔH_f (0 K)	0.044	eV/atom
space group	C2/m
magnetization	0.00	μB/cell
density of states at the Fermi level	0.342	states/eV/atom

4.
VASP calculation (PBE-GGA) on a relaxed structure of MgTl2InPb.

POSCAR file:
```
MgTl2InPb
1.0
5.8927 0.0000 0.0000
0.0000 5.6865 0.0000
-2.7257 0.0000 8.4464
Mg Tl In Pb
2 4 2 2
Direct
0.0802 0.2500 0.3074
0.9198 0.7500 0.6926
0.2651 0.2500 0.7043
0.3247 0.7500 0.4962
0.6753 0.2500 0.5038
0.7349 0.7500 0.2957
0.4750 0.2500 0.1146
0.5250 0.7500 0.8854
0.1338 0.7500 0.0874
0.8662 0.2500 0.9126
```

Results
ΔH_f (0 K)	0.015	eV/atom
space group	P2_1/m
magnetization	0.00	μB/cell
density of states at the Fermi level	0.384	states/eV/atom

5.
VASP calculation (PBE-GGA) on a relaxed structure of MgTlInPb.

POSCAR file:
```
MgTlInPb
1.0
0.0000 3.8242 3.8242
3.8242 0.0000 3.8242
3.8242 3.8242 0.0000
Mg Tl In Pb
1 1 1 1
Direct
0.0000 0.0000 0.0000
0.2500 0.2500 0.2500
0.5000 0.5000 0.5000
0.7500 0.7500 0.7500
```

Results
ΔH_f (0 K)	0.004	eV/atom
space group	F-43m
magnetization	0.00	μB/cell
density of states at the Fermi level	0.271	states/eV/atom
ΔE to the lowest computed polymorph	49	meV per atom

6.
VASP calculation (PBE-GGA) on a relaxed structure of Mg3TlInPb.

POSCAR file:
```
Mg3TlInPb
1.0
9.5173 0.0000 0.0000
0.0000 3.4986 0.0000
-3.1735 0.0000 9.2774
Mg Tl In Pb
6 2 2 2
Direct
0.1087 0.2500 0.3001
0.1194 0.2500 0.9581
0.3761 0.7500 0.5523
0.6239 0.2500 0.4477
0.8806 0.7500 0.0419
0.8913 0.7500 0.6999
0.3710 0.7500 0.8752
0.6290 0.2500 0.1248
0.1247 0.2500 0.6204
0.8753 0.7500 0.3796
0.3467 0.7500 0.2235
0.6533 0.2500 0.7765
```

Results
ΔH_f (0 K)	-0.029	eV/atom
space group	P2_1/m
magnetization	0.00	μB/cell
density of states at the Fermi level	0.384	states/eV/atom

7.
VASP calculation (PBE-GGA) on a relaxed structure of MgTl2InPb2.

POSCAR file:
```
MgTl2InPb2
1.0
4.5012 0.0000 0.0000
0.0000 10.8057 0.0000
0.0000 0.0000 7.1347
Mg Tl In Pb
2 4 2 4
Direct
0.0000 0.0007 0.0000
0.0000 0.9993 0.5000
0.0000 0.3247 0.4976
0.0000 0.6753 0.9976
0.5000 0.4987 0.2442
0.5000 0.5013 0.7442
0.5000 0.1544 0.7418
0.5000 0.8456 0.2418
0.0000 0.3057 0.9883
0.0000 0.6943 0.4883
0.5000 0.1444 0.2551
0.5000 0.8556 0.7551
```

Results
ΔH_f (0 K)	-0.009	eV/atom
space group	Pmc2_1
magnetization	0.00	μB/cell
density of states at the Fermi level	0.430	states/eV/atom

8.
VASP calculation (PBE-GGA) on a relaxed structure of MgTl2In2Pb.

POSCAR file:
```
MgTl2In2Pb
1.0
4.4985 0.0000 0.0000
0.0000 10.5331 0.0000
0.0000 0.0000 7.1398
Mg Tl In Pb
2 4 4 2
Direct
0.0000 0.0021 0.0000
0.0000 0.9979 0.5000
0.0000 0.3241 0.9944
0.0000 0.6759 0.4944
0.5000 0.4911 0.2546
0.5000 0.5089 0.7546
0.0000 0.3181 0.5073
0.0000 0.6819 0.0073
0.5000 0.1588 0.7445
0.5000 0.8412 0.2445
0.5000 0.1462 0.2525
0.5000 0.8538 0.7525
```

Results
ΔH_f (0 K)	0.002	eV/atom
space group	Pmc2_1
magnetization	0.00	μB/cell
density of states at the Fermi level	0.391	states/eV/atom

9.
VASP calculation (PBE-GGA) on a relaxed structure of Mg5Tl2InPb.

POSCAR file:
```
Mg5Tl2InPb
1.0
-3.6818 3.6818 8.7643
3.6818 -3.6818 8.7643
3.6818 3.6818 -8.7643
Mg Tl In Pb
10 4 2 2
Direct
0.0000 0.0000 0.0000
0.0789 0.5789 0.9389
0.1400 0.0789 0.5000
0.3600 0.8600 0.9389
0.4211 0.3600 0.5000
0.5000 0.5000 0.0000
0.5789 0.6400 0.5000
0.6400 0.1400 0.0611
0.8600 0.9211 0.5000
0.9211 0.4211 0.0611
0.1399 0.3601 0.5000
0.3601 0.8601 0.2202
0.6399 0.1399 0.7798
0.8601 0.6399 0.5000
0.2500 0.2500 0.0000
0.7500 0.7500 0.0000
0.2500 0.7500 0.5000
0.7500 0.2500 0.5000
```

Results
ΔH_f (0 K)	0.061	eV/atom
space group	I4/mcm
magnetization	0.00	μB/cell
density of states at the Fermi level	0.454	states/eV/atom

10.
VASP calculation (PBE-GGA) on a relaxed structure of Mg2Tl4InPb.

POSCAR file:
```
Mg2Tl4InPb
1.0
5.3853 -2.3031 0.0000
5.3853 2.3031 0.0000
-4.8331 0.0000 8.9561
Mg Tl In Pb
2 4 1 1
Direct
0.0011 0.0011 0.2560
0.9989 0.9989 0.7440
0.2519 0.2519 0.6236
0.2599 0.2599 0.1326
0.7401 0.7401 0.8674
0.7481 0.7481 0.3764
0.5000 0.5000 0.5000
0.5000 0.5000 0.0000
```

Results
ΔH_f (0 K)	0.017	eV/atom
space group	C2/m
magnetization	0.00	μB/cell
density of states at the Fermi level	0.371	states/eV/atom

11.
VASP calculation (PBE-GGA) on a relaxed structure of Tm2Mg5In3Pb2.

POSCAR file:
```
Tm2Mg5In3Pb2
1.0
-2.1859 2.1859 16.4734
2.1859 -2.1859 16.4734
2.1859 2.1859 -16.4734
Tm Mg In Pb
2 5 3 2
Direct
0.2249 0.2249 0.0000
0.7751 0.7751 0.0000
0.0000 0.0000 0.0000
0.0684 0.5684 0.5000
0.4316 0.9316 0.5000
0.5684 0.0684 0.5000
0.9316 0.4316 0.5000
0.3219 0.3219 0.0000
0.5000 0.5000 0.0000
0.6781 0.6781 0.0000
0.1319 0.1319 0.0000
0.8681 0.8681 0.0000
```

Results
ΔH_f (0 K)	-0.025	eV/atom
space group	I4/mmm
magnetization	0.00	μB/cell
density of states at the Fermi level	0.667	states/eV/atom

12.
VASP calculation (PBE-GGA) on a relaxed structure of MgZnInPb.

POSCAR file:
```
MgZnInPb
1.0
0.0000 3.6443 3.6443
3.6443 0.0000 3.6443
3.6443 3.6443 0.0000
Mg Zn In Pb
1 1 1 1
Direct
0.0000 0.0000 0.0000
0.5000 0.5000 0.5000
0.2500 0.2500 0.2500
0.7500 0.7500 0.7500
```

Results
ΔH_f (0 K)	0.086	eV/atom
space group	F-43m
magnetization	0.00	μB/cell
density of states at the Fermi level	0.356	states/eV/atom